Material: Zr2InGaCu2
Method: DFT, PBE-GGA
State: optimized geometry

Cell lengths 10.5988, 4.3248, 10.6051 Å; angles 90.00, 109.47, 90.00 degrees
Element x y z (fractional)
Ga 0.7501 0.0000 0.0015
Ga 0.1258 0.5000 0.1263
Ga 0.4990 0.0000 0.2496
Ga 0.2507 0.0000 0.4988
In 0.6249 0.5000 0.6252
In 0.8751 0.5000 0.3735
In 0.3741 0.5000 0.8760
In 0.0004 0.0000 0.7505
Cu 0.6299 0.5000 0.8809
Cu 0.4927 0.0000 0.4940
Cu 0.1288 0.5000 0.3723
Cu 0.7458 0.0000 0.2430
Cu 0.3749 0.5000 0.1297
Cu 0.8752 0.5000 0.6256
Cu 0.0012 0.0000 0.0057
Cu 0.2508 0.0000 0.7461
Zr 0.1286 0.5000 0.6194
Zr 0.7441 0.0000 0.4938
Zr 0.8770 0.5000 0.8842
Zr 0.0037 0.0000 0.2488
Zr 0.2504 0.0000 0.0079
Zr 0.3718 0.5000 0.3717
Zr 0.5017 0.0000 0.7504
Zr 0.6230 0.5000 0.1252

Computed properties:
SG: Pm
Raw total energy, eV per atom: -5.33